[1]
A plane-wave DFT calculation with PBE-GGA was carried out for a geometry-optimized TbPrHo3Tm structure.

Calculated values
Its calculated volume is 32.600 Å³/atom. For the energy of formation, the calculation gives 0.220 eV per atom.

Geometry as POSCAR:
```
TbPrHo3Tm
1.0
9.961 -2.791 0.000
9.961 2.791 0.000
-0.089 0.000 7.035
Tb Pr Ho Tm
2 2 6 2
direct
0.152 0.152 0.046 Tb
0.848 0.848 0.954 Tb
0.142 0.142 0.472 Pr
0.858 0.858 0.528 Pr
0.023 0.023 0.771 Ho
0.278 0.278 0.734 Ho
0.337 0.337 0.224 Ho
0.663 0.663 0.776 Ho
0.722 0.722 0.266 Ho
0.977 0.977 0.229 Ho
0.442 0.442 0.793 Tm
0.558 0.558 0.207 Tm
```

[2]
A plane-wave DFT calculation with PBE-GGA was carried out for a geometry-optimized Tb2PrHoTm6 structure.

Calculated values
Its calculated volume is 31.574 Å³/atom. For the energy of formation, the calculation gives 0.122 eV per atom.

Geometry as POSCAR:
```
Tb2PrHoTm6
1.0
4.502 -7.474 0.000
4.502 7.474 0.000
-1.145 0.000 9.384
Tb Pr Ho Tm
4 2 2 12
direct
0.196 0.302 0.453 Tb
0.302 0.196 0.953 Tb
0.698 0.804 0.047 Tb
0.804 0.698 0.547 Tb
0.475 0.525 0.750 Pr
0.525 0.475 0.250 Pr
0.090 0.910 0.250 Ho
0.910 0.090 0.750 Ho
0.009 0.791 0.883 Tm
0.067 0.520 0.683 Tm
0.209 0.991 0.617 Tm
0.248 0.626 0.058 Tm
0.374 0.752 0.442 Tm
0.480 0.933 0.817 Tm
0.520 0.067 0.183 Tm
0.626 0.248 0.558 Tm
0.752 0.374 0.942 Tm
0.791 0.009 0.383 Tm
0.933 0.480 0.317 Tm
0.991 0.209 0.117 Tm
```

[3]
A plane-wave DFT calculation with PBE-GGA was carried out for a geometry-optimized Tb2PrHoTm4 structure.

Calculated values
Its calculated volume is 32.683 Å³/atom. For the energy of formation, the calculation gives 0.440 eV per atom.

Geometry as POSCAR:
```
Tb2PrHoTm4
1.0
-3.381 5.851 6.610
3.381 -5.851 6.610
3.381 5.851 -6.610
Tb Pr Ho Tm
4 2 2 8
direct
0.000 0.000 0.000 Tb
0.500 0.000 0.000 Tb
0.500 0.000 0.500 Tb
0.500 0.500 0.500 Tb
0.000 0.000 0.500 Pr
0.000 0.500 0.000 Pr
0.000 0.500 0.500 Ho
0.500 0.500 0.000 Ho
0.252 0.252 0.500 Tm
0.252 0.749 0.503 Tm
0.252 0.752 0.000 Tm
0.253 0.251 0.003 Tm
0.747 0.749 0.997 Tm
0.748 0.248 0.000 Tm
0.748 0.251 0.497 Tm
0.748 0.748 0.500 Tm
```